# Ac2Mg2Cd15 PBE-GGA relaxed
# DFT total energy: -1.524 eV per atom
data_Ac2Mg2Cd15
_chemical_formula_sum 'Ac6 Mg6 Cd45'
_symmetry_space_group_name_H-M 'R -3 m'
_symmetry_Int_Tables_number 166
_symmetry_space_group_name_Hall '-R 3 2"'
_cell_length_a 10.2129
_cell_length_b 10.2129
_cell_length_c 15.2152
_cell_angle_alpha 90.00
_cell_angle_beta 90.00
_cell_angle_gamma 120.00
loop_
_atom_site_label
_atom_site_type_symbol
_atom_site_fract_x
_atom_site_fract_y
_atom_site_fract_z
_atom_site_occupancy
Ac1 Ac 0.0000 0.0000 0.1633 1
Mg1 Mg 0.0000 0.0000 0.3999 1
Cd1 Cd 0.0000 0.2918 0.5000 1
Cd2 Cd 0.0000 0.5000 0.0000 1
Cd3 Cd 0.0092 0.5046 0.6474 1

=====

# AcMg6Cd6 PBE-GGA relaxed
# DFT total energy: -1.647 eV per atom
data_AcMg6Cd6
_chemical_formula_sum 'Ac2 Mg12 Cd12'
_symmetry_space_group_name_H-M 'I m m m'
_symmetry_Int_Tables_number 71
_symmetry_space_group_name_Hall '-I 2 2'
_cell_length_a 6.0917
_cell_length_b 9.9479
_cell_length_c 10.1600
_cell_angle_alpha 90.00
_cell_angle_beta 90.00
_cell_angle_gamma 90.00
loop_
_atom_site_label
_atom_site_type_symbol
_atom_site_fract_x
_atom_site_fract_y
_atom_site_fract_z
_atom_site_occupancy
Ac1 Ac 0.0000 0.0000 0.0000 1
Mg1 Mg 0.0000 0.2761 0.5000 1
Mg2 Mg 0.2500 0.2500 0.2500 1
Cd1 Cd 0.0000 0.0000 0.3513 1
Cd2 Cd 0.0000 0.3495 0.0000 1
Cd3 Cd 0.0000 0.5000 0.2913 1

=====

# Ac2Mg4Cd5 PBE-GGA relaxed
# DFT total energy: -1.901 eV per atom
data_Ac2Mg4Cd5
_chemical_formula_sum 'Ac4 Mg8 Cd10'
_symmetry_space_group_name_H-M 'I m m m'
_symmetry_Int_Tables_number 71
_symmetry_space_group_name_Hall '-I 2 2'
_cell_length_a 6.1636
_cell_length_b 9.4902
_cell_length_c 10.1943
_cell_angle_alpha 90.00
_cell_angle_beta 90.00
_cell_angle_gamma 90.00
loop_
_atom_site_label
_atom_site_type_symbol
_atom_site_fract_x
_atom_site_fract_y
_atom_site_fract_z
_atom_site_occupancy
Ac1 Ac 0.0000 0.2279 0.0000 1
Mg1 Mg 0.0000 0.2477 0.3399 1
Cd1 Cd 0.0000 0.5000 0.5000 1
Cd2 Cd 0.2460 0.5000 0.2302 1

=====

# Ac8MgCd2 PBE-GGA relaxed
# DFT total energy: -3.360 eV per atom
data_Ac8MgCd2
_chemical_formula_sum 'Ac16 Mg2 Cd4'
_symmetry_space_group_name_H-M 'C 1 2/m 1'
_symmetry_Int_Tables_number 12
_symmetry_space_group_name_Hall '-C 2y'
_cell_length_a 19.9966
_cell_length_b 5.7323
_cell_length_c 7.9493
_cell_angle_alpha 90.00
_cell_angle_beta 106.81
_cell_angle_gamma 90.00
loop_
_atom_site_label
_atom_site_type_symbol
_atom_site_fract_x
_atom_site_fract_y
_atom_site_fract_z
_atom_site_occupancy
Ac1 Ac 0.0268 0.0000 0.2638 1
Ac2 Ac 0.0914 0.5000 0.9635 1
Ac3 Ac 0.1678 0.5000 0.4630 1
Ac4 Ac 0.1926 0.0000 0.7978 1
Mg1 Mg 0.0000 0.5000 0.5000 1
Cd1 Cd 0.1871 0.0000 0.2089 1

=====

# Ac2MgCd4 PBE-GGA relaxed
# DFT total energy: -1.915 eV per atom
data_Ac2MgCd4
_chemical_formula_sum 'Ac4 Mg2 Cd8'
_symmetry_space_group_name_H-M 'I 4/m m m'
_symmetry_Int_Tables_number 139
_symmetry_space_group_name_Hall '-I 4 2'
_cell_length_a 5.1732
_cell_length_b 5.1732
_cell_length_c 17.2528
_cell_angle_alpha 90.00
_cell_angle_beta 90.00
_cell_angle_gamma 90.00
loop_
_atom_site_label
_atom_site_type_symbol
_atom_site_fract_x
_atom_site_fract_y
_atom_site_fract_z
_atom_site_occupancy
Ac1 Ac 0.0000 0.0000 0.1386 1
Mg1 Mg 0.0000 0.0000 0.5000 1
Cd1 Cd 0.0000 0.0000 0.3328 1
Cd2 Cd 0.0000 0.5000 0.0000 1

=====

# AcMg9Cd2 PBE-GGA relaxed
# DFT total energy: -1.811 eV per atom
data_AcMg9Cd2
_chemical_formula_sum 'Ac4 Mg36 Cd8'
_symmetry_space_group_name_H-M 'I 41/a m d'
_symmetry_Int_Tables_number 141
_cell_length_a 12.2082
_cell_length_b 12.2082
_cell_length_c 7.8511
_cell_angle_alpha 90.00
_cell_angle_beta 90.00
_cell_angle_gamma 90.00
loop_
_symmetry_equiv_pos_as_xyz
'x,y,z'
'-x,-y,-z'
'-y+1/4,x+3/4,z+1/4'
'y+1/4,-x+3/4,-z+1/4'
'-x+1/2,-y,z+1/2'
'x+1/2,y,-z+1/2'
'y+1/4,-x+1/4,z+3/4'
'-y+1/4,x+1/4,-z+3/4'
'x,-y,-z'
'-x,y,z'
'-y+1/4,-x+1/4,-z+3/4'
'y+1/4,x+1/4,z+3/4'
'-x+1/2,y,-z+1/2'
'x+1/2,-y,z+1/2'
'y+1/4,x+3/4,-z+1/4'
'-y+1/4,-x+3/4,z+1/4'
'x+1/2,y+1/2,z+1/2'
'-x+1/2,-y+1/2,-z+1/2'
'-y+3/4,x+1/4,z+3/4'
'y+3/4,-x+1/4,-z+3/4'
'-x,-y+1/2,z'
'x,y+1/2,-z'
'y+3/4,-x+3/4,z+1/4'
'-y+3/4,x+3/4,-z+1/4'
'x+1/2,-y+1/2,-z+1/2'
'-x+1/2,y+1/2,z+1/2'
'-y+3/4,-x+3/4,-z+1/4'
'y+3/4,x+3/4,z+1/4'
'-x,y+1/2,-z'
'x,-y+1/2,z'
'y+3/4,x+1/4,-z+3/4'
'-y+3/4,-x+1/4,z+3/4'
loop_
_atom_site_label
_atom_site_type_symbol
_atom_site_fract_x
_atom_site_fract_y
_atom_site_fract_z
_atom_site_occupancy
Ac1 Ac 0.0000 0.2500 0.3750 1
Mg1 Mg 0.0000 0.2500 0.8750 1
Mg2 Mg 0.1224 0.0470 0.6808 1
Cd1 Cd 0.0000 0.0000 0.0000 1

=====

no.,energy of formation (eV/atom)
1,-0.201
2,-0.172
3,-0.158
4,-0.061
5,0.010
6,-0.120